LuGeRu2 GGA-PBE relaxed; DFT total energy = -7.33 eV/atom; magnetic moment = 0.0 μB/f.u.; symmetry = P4/mmm
1.0
3.193 0.000 0.000
0.000 3.193 0.000
0.000 0.000 6.346
Ru Ge Lu
2 1 1
Direct
0.000 0.000 0.781
0.000 0.000 0.219
0.500 0.500 0.000
0.500 0.500 0.500